No. 1
Below is a relaxed TlIrRuBr2 crystal, with properties calculated at the PBE level.

Cell and atoms, written as CIF:
```
data_TlIrRuBr2
_chemical_formula_sum 'Tl1 Ir1 Ru1 Br2'
_symmetry_space_group_name_H-M 'P 4/m m m'
_symmetry_Int_Tables_number 123
_symmetry_space_group_name_Hall '-P 4 2'
_cell_length_a 5.232
_cell_length_b 5.232
_cell_length_c 4.857
_cell_angle_alpha 90.00
_cell_angle_beta 90.00
_cell_angle_gamma 90.00
loop_
_atom_site_label
_atom_site_fract_x
_atom_site_fract_y
_atom_site_fract_z
_atom_site_occupancy
Tl1 0.000 0.000 0.000 1
Ir1 0.500 0.500 0.500 1
Ru1 0.500 0.500 0.000 1
Br1 0.000 0.500 0.500 1
```

Properties
Formation energy from raw total energies   0.6956 eV per atom
Total moment   1.56 μB/cell

No. 2
Below is a relaxed CsRbMg3 crystal, with properties calculated at the PBE level.

Cell and atoms, written as CIF:
```
data_CsRbMg3
_chemical_formula_sum 'Cs1 Rb1 Mg3'
_symmetry_space_group_name_H-M 'P m -3 m'
_symmetry_Int_Tables_number 221
_symmetry_space_group_name_Hall '-P 4 2 3'
_cell_length_a 6.904
_cell_length_b 6.904
_cell_length_c 6.904
_cell_angle_alpha 90.00
_cell_angle_beta 90.00
_cell_angle_gamma 90.00
loop_
_atom_site_label
_atom_site_fract_x
_atom_site_fract_y
_atom_site_fract_z
_atom_site_occupancy
Cs1 0.000 0.000 0.000 1
Rb1 0.500 0.500 0.500 1
Mg1 0.000 0.500 0.500 1
```

Properties
Total moment   0.00 μB/cell
Energy above the most stable polymorph in this dataset   0.000 eV/atom
ΔH_f (0 K)   0.71 eV/atom

Uncorrected energy for every record listed, in sequence, given in eV/atom: -4.074, -0.616.